# 1
TaV2CdO8: relaxed, PBE+U.

abc: 6.924 6.924 6.253
angles: 90.00 90.00 90.00
Space group I-4m2 (No. 119)
One atom of each set of equivalent atoms:
Ta 0.000 0.000 0.000 x2
V 0.000 0.000 0.500 x2
V 0.000 0.500 0.250 x2
Cd 0.000 0.500 0.750 x2
O 0.000 0.181 0.692 x8
O 0.000 0.282 0.086 x8

Properties
**DFT total energy**: -7.543 eV per atom
**ρ**: 5798 kg/m3

***

# 2
TaV2CdO6: relaxed, PBE+U.

abc: 5.220 5.220 5.392
angles: 90.00 90.00 90.00
Space group P4mm (No. 99)
One atom of each set of equivalent atoms:
Ta 0.000 0.000 0.000 x1
V 0.000 0.500 0.331 x2
Cd 0.500 0.500 0.900 x1
O 0.000 0.000 0.659 x1
O 0.243 0.243 0.148 x4
O 0.500 0.500 0.521 x1

Properties
**DFT total energy**: -7.375 eV per atom
**ρ**: 5551 kg/m3